VASP calculation (PBE-GGA) on crystalline Ac8OsRh3I4 at its relaxed geometry.

The calculation puts the energy relative to the elements, uncorrected at -935.3 meV per atom. As for the density: 8.17 g/cm3.

The space group is C2/m (No. 12) and the conventional cell measures 15.143, 8.734 and 10.040 Å, with angles of 90.00, 120.27 and 90.00 degrees. The asymmetric unit holds Ac at (0.020, 0.246, 0.315), Ac at (0.226, 0.000, 0.685), Ac at (0.228, 0.500, 0.684), Os at (0.000, 0.000, 0.500), Rh at (0.000, 0.500, 0.500), Rh at (0.250, 0.250, 0.500), I at (0.000, 0.000, 0.000), I at (0.000, 0.500, 0.000) and I at (0.250, 0.250, 0.000).

VASP calculation (PBE-GGA) on crystalline Ac6OsRh2I3 at its relaxed geometry.

The calculation puts the energy relative to the elements, uncorrected at -901.9 meV per atom. As for the density: 8.26 g/cm3.

The space group is C2/m (No. 12) and the conventional cell measures 7.567, 13.107 and 9.026 Å, with angles of 90.00, 106.22 and 90.00 degrees. The asymmetric unit holds Ac at (0.226, 0.164, 0.185), Ac at (0.233, 0.500, 0.185), Os at (0.000, 0.000, 0.000), Rh at (0.000, 0.333, 0.000), I at (0.000, 0.166, 0.500) and I at (0.000, 0.500, 0.500).

VASP calculation (PBE-GGA) on crystalline Ac8Os3RhI3 at its relaxed geometry.

The calculation puts the energy relative to the elements, uncorrected at -561.9 meV per atom. As for the density: 8.28 g/cm3.

The space group is C2/m (No. 12) and the conventional cell measures 15.144, 8.750 and 10.044 Å, with angles of 90.00, 120.11 and 90.00 degrees. The asymmetric unit holds Ac at (0.024, 0.247, 0.320), Ac at (0.228, 0.000, 0.683), Ac at (0.228, 0.500, 0.679), Os at (0.000, 0.000, 0.500), Os at (0.250, 0.250, 0.500), Rh at (0.000, 0.500, 0.500), I at (0.000, 0.500, 0.000) and I at (0.250, 0.250, 0.000).